A relaxed structure of La2Y, computed with GGA-PBEsol.

a b c (Å): 6.5806 6.5806 6.5806
angles (deg): 60.00 60.00 60.00
Closest atoms and distances in Å follow each position.
Element x y z (fractional)
La: 0.1250 0.6250 0.6250  6 La 3.29
La: 0.6250 0.6250 0.6250  6 La 3.29
La: 0.6250 0.6250 0.1250  6 La 3.29
La: 0.6250 0.1250 0.6250  6 La 3.29
Y: 0.2500 0.2500 0.2500  12 La 3.86, 4 Y 4.03
Y: 0.0000 0.0000 0.0000  12 La 3.86, 4 Y 4.03

Properties
SG = Fd-3m
ΔE_f = 0.22 eV/atom
Calculated total energy = -5.619 eV per atom
Energy above the lowest structure with this stoichiometry = 0.2070 eV per atom